Density functional theory data (SCAN) for a crystal of RbNb2PSe10 relaxed with PBEsol.

Computed properties:
The calculation puts the calculated density at 4.871 g cm⁻³. The calculation puts the electronic total energy at -307.57 eV/f.u. As for the space group: Pc. The calculation puts the formation energy from raw total energies at -671 meV/atom.

The structure in POSCAR format:
```
RbNb2PSe10
1.0
-6.7556 -2.5066 1.6593
-1.5634 -0.7964 -7.5683
7.7900 -10.9277 -0.4593
Nb Se Rb P
4 20 2 2
Cartesian
1.2827 -12.9922 -6.3544
2.1257 -5.5822 -0.3702
-4.8664 -4.1382 0.9448
1.0374 -9.0461 -6.7415
1.3469 -12.4868 -3.7022
0.2224 -3.7091 -0.1337
-5.4276 -4.4163 -1.7489
0.8361 -13.5287 0.1114
-3.2441 -2.2300 -0.0473
3.8865 -7.3975 -1.2681
-1.2696 -1.3687 -6.4486
-0.6365 -11.1272 -6.1947
1.5892 -8.7572 -4.0471
-3.1082 -6.1141 0.0738
2.1135 -10.4380 -0.6818
0.5597 -4.2489 -6.3001
-4.4622 -3.7350 -5.4167
4.3771 -10.7319 -2.7495
1.1240 -5.6198 -2.8780
0.3718 -7.5131 -0.4064
2.8386 -7.0467 -6.8679
-0.7978 -7.3804 -5.8942
3.0762 -10.8790 -6.2542
-3.2929 -6.7237 -3.6128
-1.8004 -3.5303 -3.1128
-1.3347 -10.2737 -2.7621
-4.3718 -6.3794 -1.7624
2.6459 -10.7199 -4.0568
```